[1]
DFT (PBE) results for a relaxed KAu2Se crystal.

Geometry as extended XYZ:
```
4
Lattice="2.8957 0.0000 0.0000 0.0000 5.3677 0.0000 0.0000 0.0000 5.8066" Properties=species:S:1:pos:R:3 pbc="T T T"
K 0.0000 0.0000 0.0000
Au 0.0000 2.6838 2.9033
Au 1.4478 0.0000 2.9033
Se 1.4478 2.6838 0.0000
```

## Properties
- Symmetry: Pmmm, No. 47
- E_tot: -11.4 eV/cell


[2]
DFT (PBE) results for a relaxed KAu2Se crystal.

Geometry as extended XYZ:
```
4
Lattice="2.8438 0.0000 0.0000 0.0000 5.3678 0.0000 0.0000 0.0000 5.9416" Properties=species:S:1:pos:R:3 pbc="T T T"
K 0.0000 0.0000 0.0000
Au 1.4219 2.6839 1.4968
Au 1.4219 2.6839 4.4448
Se 0.0000 0.0000 2.9708
```

## Properties
- Symmetry: Pmmm, No. 47
- E_tot: -11.1 eV/cell


[3]
DFT (PBE) results for a relaxed KAuSe4 crystal.

Geometry as extended XYZ:
```
12
Lattice="2.9509 -5.6886 0.0000 2.9509 5.6886 0.0000 -1.5406 0.0000 11.0929" Properties=species:S:1:pos:R:3 pbc="T T T"
K 1.7954 4.5617 8.3197
K 2.5657 -4.5617 2.7732
Au 1.4754 2.8443 0.0000
Au 0.7051 -2.8443 5.5464
Se -0.0492 1.8748 8.7612
Se 0.7211 -1.8748 3.2148
Se 2.7380 0.7996 0.8900
Se 2.3934 0.7996 4.6564
Se 1.9677 -0.7996 6.4365
Se 1.6231 -0.7996 10.2029
Se 3.6400 1.8748 7.8781
Se 4.4103 -1.8748 2.3317
```

## Properties
- E above lowest polymorph: 0 meV/atom
- Symmetry: C2/c, No. 15


[4]
DFT (PBE) results for a relaxed KAuSe4 crystal.

Geometry as extended XYZ:
```
6
Lattice="0.0000 4.1526 4.1526 4.1526 0.0000 4.1526 4.1526 4.1526 0.0000" Properties=species:S:1:pos:R:3 pbc="T T T"
K 0.0000 0.0000 0.0000
Au 2.0763 2.0763 2.0763
Se 5.1801 3.1252 3.1252
Se 3.1252 5.1801 3.1252
Se 3.1252 3.1252 5.1801
Se 5.1801 5.1801 5.1801
```

## Properties
- E above lowest polymorph: 492 meV/atom
- Symmetry: F-43m, No. 216


[5]
DFT (PBE) results for a relaxed KAu2Se crystal.

Geometry as extended XYZ:
```
4
Lattice="3.0211 -5.8381 0.0000 3.0211 5.8381 0.0000 -1.3869 0.0000 2.5530" Properties=species:S:1:pos:R:3 pbc="T T T"
K 0.0000 0.0000 0.0000
Au 1.5106 2.9191 0.0000
Au 1.5106 -2.9191 0.0000
Se 3.0211 0.0000 0.0000
```

## Properties
- Symmetry: C2/m, No. 12
- E_tot: -11.3 eV/cell


[6]
DFT (PBE) results for a relaxed K4AuSe crystal.

Geometry as extended XYZ:
```
6
Lattice="0.0000 4.7338 4.7338 4.7338 0.0000 4.7338 4.7338 4.7338 0.0000" Properties=species:S:1:pos:R:3 pbc="T T T"
K 1.1768 1.1768 1.1768
K 3.5571 3.5571 1.1768
K 3.5571 1.1768 3.5571
K 1.1768 3.5571 3.5571
Au 4.7338 4.7338 4.7338
Se 7.1007 7.1007 7.1007
```

## Properties
- Symmetry: F-43m, No. 216
- E_tot: -11.2 eV/cell


[7]
DFT (PBE) results for a relaxed KAu2Se crystal.

Geometry as extended XYZ:
```
4
Lattice="-2.5037 2.5037 3.6054 2.5037 -2.5037 3.6054 2.5037 2.5037 -3.6054" Properties=species:S:1:pos:R:3 pbc="T T T"
K 0.0000 0.0000 0.0000
Au 0.0000 0.0000 3.6054
Au 0.0000 2.5037 1.8027
Se 2.5037 0.0000 1.8027
```

## Properties
- Symmetry: I-4m2, No. 119
- E_tot: -11.0 eV/cell


[8]
DFT (PBE) results for a relaxed K2AuSe crystal.

Geometry as extended XYZ:
```
4
Lattice="4.7689 0.0000 0.0000 0.0000 4.7689 0.0000 0.0000 0.0000 6.7820" Properties=species:S:1:pos:R:3 pbc="T T T"
K 0.0000 0.0000 0.0000
K 2.3845 2.3845 3.3846
Au 2.3845 2.3845 6.7743
Se 0.0000 0.0000 3.3926
```

## Properties
- Symmetry: P4mm, No. 99
- E_tot: -10.4 eV/cell


[9]
DFT (PBE) results for a relaxed KAu2Se crystal.

Geometry as extended XYZ:
```
4
Lattice="4.8901 -1.4768 0.0000 4.8901 1.4768 0.0000 -2.5332 0.0000 7.2154" Properties=species:S:1:pos:R:3 pbc="T T T"
K 0.0000 0.0000 0.0000
Au 4.5255 0.0000 3.2550
Au 7.1905 0.0000 2.3203
Se 0.0672 0.0000 5.4578
```

## Properties
- Symmetry: Cm, No. 8
- E_tot: -11.7 eV/cell


[10]
DFT (PBE) results for a relaxed K2AuSe crystal.

Geometry as extended XYZ:
```
8
Lattice="-4.5009 4.5009 3.0050 4.5009 -4.5009 3.0050 4.5009 4.5009 -3.0050" Properties=species:S:1:pos:R:3 pbc="T T T"
K 6.7514 2.1184 -0.7512
K 2.1184 2.2505 0.7512
K -2.2505 2.3825 2.2537
K 2.3825 2.2505 3.7562
Au 4.5009 0.0000 1.5025
Au 0.0000 0.0000 3.0050
Se 0.0000 0.0000 0.0000
Se 0.0000 4.5009 1.5025
```

## Properties
- Symmetry: I-42d, No. 122
- E_tot: -21.7 eV/cell


[11]
DFT (PBE) results for a relaxed KAu3Se crystal.

Geometry as extended XYZ:
```
5
Lattice="5.2281 0.0000 0.0000 0.0000 5.2281 0.0000 0.0000 0.0000 5.2281" Properties=species:S:1:pos:R:3 pbc="T T T"
K 0.0000 0.0000 0.0000
Au 0.0000 2.6140 2.6140
Au 2.6140 0.0000 2.6140
Au 2.6140 2.6140 0.0000
Se 2.6140 2.6140 2.6140
```

## Properties
- E above lowest polymorph: 0 meV/atom
- Symmetry: Pm-3m, No. 221


[12]
DFT (PBE) results for a relaxed K2AuSe crystal.

Geometry as extended XYZ:
```
4
Lattice="6.0283 0.0000 0.0000 0.0000 6.0283 0.0000 0.0000 0.0000 3.1538" Properties=species:S:1:pos:R:3 pbc="T T T"
K 0.0000 3.0141 0.0000
K 3.0141 0.0000 0.0000
Au 0.0000 0.0000 1.5769
Se 3.0141 3.0141 1.5769
```

## Properties
- Symmetry: P4/mmm, No. 123
- E_tot: -11.2 eV/cell


The evaluated DOS(E_F) for the records listed, in turn: 0.44 0.48 0.23 0.42 0.64 0.42 0.34 1.46 0.16 0.18 0.20 0.20 states/eV/atom.